No. 1
Material: TbPrDyTl
Method: DFT, PBE
State: optimized geometry

Lattice parameters (Å, degrees): 4.8586 4.9376 4.9594 90.00 90.00 90.00
Closest atoms and distances in Å follow each position.
Space group Pmmm (No. 47)
Symmetry-distinct sites (fractional):
Tb 0.0000 0.0000 0.0000 (multiplicity 1)  4 Pr 3.46, 4 Tl 3.47, 4 Dy 3.50
Pr 0.5000 0.5000 0.0000 (multiplicity 1)  4 Tb 3.46, 4 Dy 3.47, 4 Tl 3.50
Dy 0.0000 0.5000 0.5000 (multiplicity 1)  4 Tl 3.46, 4 Pr 3.47, 4 Tb 3.50
Tl 0.5000 0.0000 0.5000 (multiplicity 1)  4 Dy 3.46, 4 Tb 3.47, 4 Pr 3.50

Computed properties:
Energy above the lowest structure with this stoichiometry = 0 meV/atom
Size of the total moment = 0.0 μB/f.u.
DFT formation energy = -0.19 eV/atom

No. 2
Material: Tb2Pr6Dy3Tl
Method: DFT, PBE
State: optimized geometry

Lattice parameters (Å, degrees): 6.2445 10.8580 11.8995 90.00 100.27 90.00
Closest atoms and distances in Å follow each position.
Space group C2/m (No. 12)
Symmetry-distinct sites (fractional):
Tb 0.0000 0.1660 0.0000 (multiplicity 4)  6 Pr 3.59-3.60, 3 Tb 3.60-3.62, 3 Tl 3.61-3.63
Pr 0.2449 0.5000 0.7497 (multiplicity 4)  6 Pr 3.55-3.65, 1 Tl 3.58, 3 Dy 3.59-3.61, 2 Tb 3.60
Pr 0.2463 0.3361 0.2486 (multiplicity 8)  6 Pr 3.55-3.65, 1 Tl 3.56, 2 Tb 3.59-3.60, 3 Dy 3.60-3.62
Dy 0.0000 0.0000 0.5000 (multiplicity 2)  6 Pr 3.60-3.61, 6 Dy 3.61
Dy 0.0000 0.3323 0.5000 (multiplicity 4)  6 Pr 3.59-3.62, 6 Dy 3.60-3.64
Tl 0.0000 0.5000 0.0000 (multiplicity 2)  6 Pr 3.56-3.58, 6 Tb 3.61-3.63

Computed properties:
Size of the total moment = 0.0 μB/f.u.
DFT formation energy = -0.01 eV/atom

No. 3
Material: TbPrDy2Tl4
Method: DFT, PBE
State: optimized geometry

Lattice parameters (Å, degrees): 5.4197 5.4197 26.6186 90.00 90.00 120.00
Closest atoms and distances in Å follow each position.
Space group R-3m (No. 166, hexagonal axes)
Symmetry-distinct sites (fractional):
Tb 0.0000 0.0000 0.0000 (multiplicity 3)  8 Tl 3.28-3.31
Pr 0.0000 0.0000 0.5000 (multiplicity 3)  8 Tl 3.34-3.37
Dy 0.0000 0.0000 0.2504 (multiplicity 6)  8 Tl 3.27-3.38
Tl 0.0000 0.0000 0.1233 (multiplicity 6)  1 Tb 3.28, 4 Dy 3.31-3.38, 3 Pr 3.34
Tl 0.0000 0.0000 0.3734 (multiplicity 6)  4 Dy 3.27-3.33, 3 Tb 3.31, 1 Pr 3.37

Computed properties:
Size of the total moment = 0.0 μB/f.u.
DFT formation energy = -0.35 eV/atom

No. 4
Material: TbPrDy2Tl2
Method: DFT, PBE
State: optimized geometry

Lattice parameters (Å, degrees): 5.1627 10.1162 6.8451 90.00 90.00 90.00
Closest atoms and distances in Å follow each position.
Space group Pmc2_1 (No. 26)
Symmetry-distinct sites (fractional):
Tb 0.0000 0.1914 0.0000 (multiplicity 2)  4 Tl 3.20-3.37, 2 Pr 3.53
Pr 0.5000 0.0422 0.2751 (multiplicity 2)  5 Tl 3.30-3.57, 2 Pr 3.53, 2 Tb 3.53
Dy 0.0000 0.4565 0.3680 (multiplicity 2)  5 Tl 3.24-3.56, 4 Dy 3.52-3.53
Dy 0.5000 0.3188 0.6520 (multiplicity 2)  4 Tl 3.17-3.24, 2 Dy 3.52
Tl 0.0000 0.1407 0.5379 (multiplicity 2)  2 Tb 3.20-3.37, 3 Dy 3.24-3.40, 4 Pr 3.30-3.57
Tl 0.5000 0.3684 0.1145 (multiplicity 2)  4 Dy 3.17-3.24, 2 Tb 3.24, 1 Pr 3.48

Computed properties:
Size of the total moment = 0.0 μB/f.u.
DFT formation energy = -0.27 eV/atom

No. 5
Material: Tb3Pr2Dy6Tl
Method: DFT, PBE
State: optimized geometry

Lattice parameters (Å, degrees): 6.1211 10.6089 11.7840 90.00 100.03 90.00
Closest atoms and distances in Å follow each position.
Space group C2/m (No. 12)
Symmetry-distinct sites (fractional):
Tb 0.0000 0.0000 0.0000 (multiplicity 2)  6 Dy 3.53-3.55, 6 Tb 3.53-3.54
Tb 0.0000 0.3332 0.0000 (multiplicity 4)  6 Dy 3.52-3.56, 6 Tb 3.53-3.54
Pr 0.0000 0.1664 0.5000 (multiplicity 4)  3 Pr 3.53-3.54, 3 Tl 3.53-3.54, 6 Dy 3.56-3.57
Dy 0.2443 0.5000 0.2483 (multiplicity 4)  6 Dy 3.47-3.57, 3 Tb 3.52-3.55, 1 Tl 3.55, 2 Pr 3.57
Dy 0.2469 0.3362 0.7506 (multiplicity 8)  6 Dy 3.47-3.57, 3 Tb 3.53-3.56, 1 Tl 3.53, 2 Pr 3.56-3.57
Tl 0.0000 0.5000 0.5000 (multiplicity 2)  6 Dy 3.53-3.55, 6 Pr 3.53-3.54

Computed properties:
Size of the total moment = 0.0 μB/f.u.
DFT formation energy = -0.03 eV/atom

No. 6
Material: TbPrDyTl
Method: DFT, PBE
State: optimized geometry

Lattice parameters (Å, degrees): 7.8489 7.8489 7.8489 90.00 90.00 90.00
Closest atoms and distances in Å follow each position.
Space group F-43m (No. 216)
Symmetry-distinct sites (fractional):
Tb 0.0000 0.0000 0.0000 (multiplicity 4)  4 Dy 3.40, 4 Pr 3.40
Pr 0.2500 0.2500 0.2500 (multiplicity 4)  4 Tb 3.40, 4 Tl 3.40
Dy 0.2500 0.2500 0.7500 (multiplicity 4)  4 Tb 3.40, 4 Tl 3.40
Tl 0.0000 0.0000 0.5000 (multiplicity 4)  4 Dy 3.40, 4 Pr 3.40

Computed properties:
Energy above the lowest structure with this stoichiometry = 142 meV/atom
Size of the total moment = 1.4 μB/f.u.
DFT formation energy = -0.04 eV/atom